<A>
Ta3TiMo: optimized geometry, PBE-GGA.

- calculated volume (A^3/atom) = 22.24
- space-group type = No. 221
- M_tot (μB per cell) = 0.003

a b c (Å): 4.8087 4.8087 4.8087
angles (deg): 90.00 90.00 90.00
With the nearest neighbours (Å) after each atom.
Atoms (fractional coordinates):
Mo (0.0000, 0.0000, 0.0000)  6 Ta 2.40
Ti (0.5000, 0.5000, 0.5000)  12 Ta 3.40
Ta (0.0000, 0.5000, 0.0000)  2 Mo 2.40
Ta (0.0000, 0.0000, 0.5000)  2 Mo 2.40
Ta (0.5000, 0.0000, 0.0000)  2 Mo 2.40

<B>
Ta3TiMo: optimized geometry, PBE-GGA.

- calculated volume (A^3/atom) = 17.45
- space-group type = No. 8
- M_tot (μB per cell) = 0.000

a b c (Å): 2.8611 4.5611 7.3242
angles (deg): 71.86 74.66 90.00
With the nearest neighbours (Å) after each atom.
Atoms (fractional coordinates):
Ta (0.2090, 0.3092, 0.6938)  1 Mo 2.81, 6 Ta 2.83-2.87, 1 Ti 2.86
Ta (0.9686, 0.9112, 0.4898)  2 Mo 2.76, 1 Ti 2.84, 5 Ta 2.86-2.92
Ta (0.3729, 0.7031, 0.9062)  1 Mo 2.75, 5 Ta 2.83-2.92, 2 Ti 2.87
Ti (0.6392, 0.1050, 0.1024)  2 Mo 2.76, 4 Ta 2.84-2.87, 2 Ti 2.86
Mo (0.8025, 0.5078, 0.2966)  4 Ta 2.75-2.81, 2 Ti 2.76, 2 Mo 2.86

Verdict on stability: <A> comes out at the bottom.